# Ca2La5Tm, relaxed, DFT PBE-GGA
data_Ca2La5Tm
_cell_length_a 5.2323
_cell_length_b 5.2323
_cell_length_c 11.4837
_cell_angle_alpha 103.17
_cell_angle_beta 103.17
_cell_angle_gamma 90.00
_symmetry_space_group_name_H-M 'P 1'
_symmetry_Int_Tables_number 1
loop_
_symmetry_equiv_pos_as_xyz
'x,y,z'
loop_
_atom_site_label
_atom_site_type_symbol
_atom_site_fract_x
_atom_site_fract_y
_atom_site_fract_z
Ca1 Ca 0.7493 0.7493 0.4986
Ca2 Ca 0.2507 0.2507 0.5014
La1 La 0.8829 0.3829 0.7658
La2 La 0.6171 0.1171 0.2342
La3 La 0.3829 0.8829 0.7658
La4 La 0.1171 0.6171 0.2342
La5 La 0.5000 0.5000 0.0000
Tm1 Tm 0.0000 0.0000 0.0000
# E = -32.8 eV for the cell shown
# ΔE_f = 32 kJ/mol of formula units
# Space-group type = I4/mmm, No. 139
# Density = 5.26 g cm⁻³
# Total magnetic moment = 0.000 μB/f.u.


# Ca2La4Tm, relaxed, DFT PBE-GGA
data_Ca2La4Tm
_cell_length_a 3.6251
_cell_length_b 5.9808
_cell_length_c 12.5549
_cell_angle_alpha 103.77
_cell_angle_beta 98.30
_cell_angle_gamma 90.00
_symmetry_space_group_name_H-M 'P 1'
_symmetry_Int_Tables_number 1
loop_
_symmetry_equiv_pos_as_xyz
'x,y,z'
loop_
_atom_site_label
_atom_site_type_symbol
_atom_site_fract_x
_atom_site_fract_y
_atom_site_fract_z
Ca1 Ca 0.7211 0.7210 0.4421
Ca2 Ca 0.2789 0.2790 0.5579
Tm1 Tm 0.0000 0.0000 0.0000
La1 La 0.3705 0.8704 0.7409
La2 La 0.0782 0.5786 0.1563
La3 La 0.9218 0.4214 0.8437
La4 La 0.6295 0.1296 0.2591
# E = -27.4 eV for the cell shown
# ΔE_f = 73 kJ/mol of formula units
# Space-group type = Immm, No. 71
# Density = 5.11 g cm⁻³
# Total magnetic moment = 0.000 μB/f.u.


# Ca2LaTm, relaxed, DFT PBE-GGA
data_Ca2LaTm
_cell_length_a 5.9302
_cell_length_b 5.9302
_cell_length_c 5.9302
_cell_angle_alpha 60.00
_cell_angle_beta 60.00
_cell_angle_gamma 60.00
_symmetry_space_group_name_H-M 'P 1'
_symmetry_Int_Tables_number 1
loop_
_symmetry_equiv_pos_as_xyz
'x,y,z'
loop_
_atom_site_label
_atom_site_type_symbol
_atom_site_fract_x
_atom_site_fract_y
_atom_site_fract_z
Tm1 Tm 0.0000 0.0000 0.0000
Ca1 Ca 0.7500 0.7500 0.7500
Ca2 Ca 0.2500 0.2500 0.2500
La1 La 0.5000 0.5000 0.5000
# E = -12.8 eV for the cell shown
# ΔE_f = 61 kJ/mol of formula units
# Space-group type = Fm-3m, No. 225
# Density = 4.37 g cm⁻³
# Energy relative to the lowest polymorph listed for this composition = 44 meV/atom
# Total magnetic moment = 0.000 μB/f.u.


# CaLa8Tm2, relaxed, DFT PBE-GGA
data_CaLa8Tm2
_cell_length_a 5.2621
_cell_length_b 8.2742
_cell_length_c 9.7810
_cell_angle_alpha 104.42
_cell_angle_beta 105.60
_cell_angle_gamma 90.00
_symmetry_space_group_name_H-M 'P 1'
_symmetry_Int_Tables_number 1
loop_
_symmetry_equiv_pos_as_xyz
'x,y,z'
loop_
_atom_site_label
_atom_site_type_symbol
_atom_site_fract_x
_atom_site_fract_y
_atom_site_fract_z
Tm1 Tm 0.2276 0.6347 0.4552
Tm2 Tm 0.7724 0.3653 0.5448
La1 La 0.1423 0.1942 0.2847
La2 La 0.6846 0.9107 0.3691
La3 La 0.8577 0.8058 0.7153
La4 La 0.9515 0.2829 0.9030
La5 La 0.3154 0.0893 0.6309
La6 La 0.5949 0.4623 0.1898
La7 La 0.4051 0.5377 0.8102
La8 La 0.0485 0.7171 0.0970
Ca1 Ca 0.5000 0.0000 0.0000
# E = -50.0 eV for the cell shown
# ΔE_f = 35 kJ/mol of formula units
# Space-group type = C2/m, No. 12
# Density = 6.24 g cm⁻³
# Total magnetic moment = 0.000 μB/f.u.


# CaLa3Tm, relaxed, DFT PBE-GGA
data_CaLa3Tm
_cell_length_a 6.3834
_cell_length_b 6.3834
_cell_length_c 11.5678
_cell_angle_alpha 90.00
_cell_angle_beta 90.00
_cell_angle_gamma 127.70
_symmetry_space_group_name_H-M 'P 1'
_symmetry_Int_Tables_number 1
loop_
_symmetry_equiv_pos_as_xyz
'x,y,z'
loop_
_atom_site_label
_atom_site_type_symbol
_atom_site_fract_x
_atom_site_fract_y
_atom_site_fract_z
Tm1 Tm 0.8604 0.1396 0.0000
Tm2 Tm 0.1396 0.8604 0.0000
La1 La 0.6499 0.3490 0.1890
La2 La 0.6510 0.3501 0.8110
La3 La 0.3501 0.6510 0.8110
La4 La 0.3490 0.6499 0.1890
La5 La 0.9993 0.9993 0.3066
La6 La 0.0007 0.0007 0.6934
Ca1 Ca 0.3434 0.6566 0.5000
Ca2 Ca 0.6566 0.3434 0.5000
# E = -41.2 eV for the cell shown
# ΔE_f = 65 kJ/mol of formula units
# Space-group type = Cmmm, No. 65
# Density = 5.57 g cm⁻³
# Total magnetic moment = 0.000 μB/f.u.


# CaLa5Tm3, relaxed, DFT PBE-GGA
data_CaLa5Tm3
_cell_length_a 10.0732
_cell_length_b 12.3603
_cell_length_c 7.1380
_cell_angle_alpha 125.30
_cell_angle_beta 90.00
_cell_angle_gamma 114.05
_symmetry_space_group_name_H-M 'P 1'
_symmetry_Int_Tables_number 1
loop_
_symmetry_equiv_pos_as_xyz
'x,y,z'
loop_
_atom_site_label
_atom_site_type_symbol
_atom_site_fract_x
_atom_site_fract_y
_atom_site_fract_z
Tm1 Tm 0.0000 0.0000 0.5000
Tm2 Tm 0.3355 0.6705 0.6706
Tm3 Tm 0.6645 0.3295 0.3294
Tm4 Tm 0.6650 0.3295 0.8294
Tm5 Tm 0.0000 0.0000 0.0000
Tm6 Tm 0.3350 0.6705 0.1706
La1 La 0.6313 0.6263 0.3757
La2 La 0.0071 0.3052 0.5554
La3 La 0.6529 0.0000 0.2500
La4 La 0.2982 0.3052 0.0554
La5 La 0.3687 0.3737 0.6243
La6 La 0.3471 0.0000 0.7500
La7 La 0.9950 0.6263 0.8757
La8 La 0.9929 0.6948 0.4446
La9 La 0.0050 0.3737 0.1243
La10 La 0.7018 0.6948 0.9446
Ca1 Ca 0.3077 0.0000 0.2500
Ca2 Ca 0.6923 0.0000 0.7500
# E = -78.8 eV for the cell shown
# ΔE_f = 63 kJ/mol of formula units
# Space-group type = Cmcm, No. 63
# Density = 6.56 g cm⁻³
# Total magnetic moment = 0.000 μB/f.u.


# CaLaTm, relaxed, DFT PBE-GGA
data_CaLaTm
_cell_length_a 3.6759
_cell_length_b 3.6759
_cell_length_c 9.1772
_cell_angle_alpha 90.00
_cell_angle_beta 90.00
_cell_angle_gamma 120.00
_symmetry_space_group_name_H-M 'P 1'
_symmetry_Int_Tables_number 1
loop_
_symmetry_equiv_pos_as_xyz
'x,y,z'
loop_
_atom_site_label
_atom_site_type_symbol
_atom_site_fract_x
_atom_site_fract_y
_atom_site_fract_z
Tm1 Tm 0.6667 0.3333 0.3430
Ca1 Ca 0.0000 0.0000 0.0086
La1 La 0.3333 0.6667 0.6484
# E = -11.2 eV for the cell shown
# ΔE_f = 18 kJ/mol of formula units
# Space-group type = P3m1, No. 156
# Density = 5.38 g cm⁻³
# Energy relative to the lowest polymorph listed for this composition = 0 meV/atom
# Total magnetic moment = 0.000 μB/f.u.


# CaLa2Tm, relaxed, DFT PBE-GGA
data_CaLa2Tm
_cell_length_a 4.0799
_cell_length_b 5.9733
_cell_length_c 5.9733
_cell_angle_alpha 90.00
_cell_angle_beta 90.00
_cell_angle_gamma 90.00
_symmetry_space_group_name_H-M 'P 1'
_symmetry_Int_Tables_number 1
loop_
_symmetry_equiv_pos_as_xyz
'x,y,z'
loop_
_atom_site_label
_atom_site_type_symbol
_atom_site_fract_x
_atom_site_fract_y
_atom_site_fract_z
Ca1 Ca 0.5000 0.5000 0.5000
Tm1 Tm 0.5000 0.0000 0.0000
La1 La 0.0000 0.0000 0.5000
La2 La 0.0000 0.5000 0.0000
# E = -15.9 eV for the cell shown
# ΔE_f = 36 kJ/mol of formula units
# Space-group type = P4/mmm, No. 123
# Density = 5.55 g cm⁻³
# Energy relative to the lowest polymorph listed for this composition = 61 meV/atom
# Total magnetic moment = 0.000 μB/f.u.


# CaLa2Tm, relaxed, DFT PBE-GGA
data_CaLa2Tm
_cell_length_a 3.6852
_cell_length_b 3.6852
_cell_length_c 12.5130
_cell_angle_alpha 81.53
_cell_angle_beta 81.53
_cell_angle_gamma 60.00
_symmetry_space_group_name_H-M 'P 1'
_symmetry_Int_Tables_number 1
loop_
_symmetry_equiv_pos_as_xyz
'x,y,z'
loop_
_atom_site_label
_atom_site_type_symbol
_atom_site_fract_x
_atom_site_fract_y
_atom_site_fract_z
La1 La 0.2559 0.2559 0.2322
La2 La 0.0777 0.0777 0.7670
Ca1 Ca 0.4996 0.4996 0.5011
Tm1 Tm 0.6668 0.6668 0.9996
# E = -16.2 eV for the cell shown
# ΔE_f = 17 kJ/mol of formula units
# Space-group type = R3m, No. 160
# Density = 5.57 g cm⁻³
# Energy relative to the lowest polymorph listed for this composition = 10 meV/atom
# Total magnetic moment = 0.000 μB/f.u.


# CaLa12Tm5, relaxed, DFT PBE-GGA
data_CaLa12Tm5
_cell_length_a 10.9532
_cell_length_b 11.0455
_cell_length_c 6.3890
_cell_angle_alpha 107.03
_cell_angle_beta 90.01
_cell_angle_gamma 60.27
_symmetry_space_group_name_H-M 'P 1'
_symmetry_Int_Tables_number 1
loop_
_symmetry_equiv_pos_as_xyz
'x,y,z'
loop_
_atom_site_label
_atom_site_type_symbol
_atom_site_fract_x
_atom_site_fract_y
_atom_site_fract_z
La1 La 0.1760 0.0000 0.4999
La2 La 0.9973 0.6603 0.9979
La3 La 0.6572 0.3398 0.0021
La4 La 0.4957 0.6677 0.5036
La5 La 0.6620 0.0001 0.0001
La6 La 0.3427 0.6602 0.9980
La7 La 0.0027 0.3397 0.0021
La8 La 0.3381 0.9999 0.9999
La9 La 0.5043 0.3323 0.4964
La10 La 0.8240 0.0000 0.5001
La11 La 0.8370 0.6678 0.5038
La12 La 0.1630 0.3322 0.4962
Ca1 Ca 0.0000 0.0000 0.0000
Tm1 Tm 0.8304 0.3389 0.5121
Tm2 Tm 0.5000 0.0000 0.5000
Tm3 Tm 0.6664 0.6676 0.0053
Tm4 Tm 0.3336 0.3324 0.9947
Tm5 Tm 0.1696 0.6611 0.4879
# E = -83.0 eV for the cell shown
# ΔE_f = 50 kJ/mol of formula units
# Space-group type = C2/m, No. 12
# Density = 6.71 g cm⁻³
# Total magnetic moment = 0.000 μB/f.u.


# CaLa5Tm4, relaxed, DFT PBE-GGA
data_CaLa5Tm4
_cell_length_a 3.7460
_cell_length_b 3.7460
_cell_length_c 24.8039
_cell_angle_alpha 90.00
_cell_angle_beta 90.00
_cell_angle_gamma 90.00
_symmetry_space_group_name_H-M 'P 1'
_symmetry_Int_Tables_number 1
loop_
_symmetry_equiv_pos_as_xyz
'x,y,z'
loop_
_atom_site_label
_atom_site_type_symbol
_atom_site_fract_x
_atom_site_fract_y
_atom_site_fract_z
La1 La 0.5000 0.5000 0.3070
La2 La 0.5000 0.5000 0.6930
La3 La 0.5000 0.5000 0.8871
La4 La 0.5000 0.5000 0.1129
La5 La 0.5000 0.5000 0.5000
Tm1 Tm 0.0000 0.0000 0.2086
Tm2 Tm 0.0000 0.0000 0.4031
Tm3 Tm 0.0000 0.0000 0.5969
Tm4 Tm 0.0000 0.0000 0.7914
Ca1 Ca 0.0000 0.0000 0.0000
# E = -44.1 eV for the cell shown
# ΔE_f = 37 kJ/mol of formula units
# Space-group type = P4/mmm, No. 123
# Density = 6.73 g cm⁻³
# Total magnetic moment = 0.000 μB/f.u.


# CaLa2Tm, relaxed, DFT PBE-GGA
data_CaLa2Tm
_cell_length_a 5.8987
_cell_length_b 5.8987
_cell_length_c 5.8987
_cell_angle_alpha 60.00
_cell_angle_beta 60.00
_cell_angle_gamma 60.00
_symmetry_space_group_name_H-M 'P 1'
_symmetry_Int_Tables_number 1
loop_
_symmetry_equiv_pos_as_xyz
'x,y,z'
loop_
_atom_site_label
_atom_site_type_symbol
_atom_site_fract_x
_atom_site_fract_y
_atom_site_fract_z
Tm1 Tm 0.0000 0.0000 0.0000
La1 La 0.7500 0.7500 0.7500
La2 La 0.2500 0.2500 0.2500
Ca1 Ca 0.5000 0.5000 0.5000
# E = -16.0 eV for the cell shown
# ΔE_f = 36 kJ/mol of formula units
# Space-group type = Fm-3m, No. 225
# Density = 5.57 g cm⁻³
# Energy relative to the lowest polymorph listed for this composition = 60 meV/atom
# Total magnetic moment = 0.000 μB/f.u.